Here is a relaxed NdTl2PdO6 crystal from Alexandria. Energies are from PBE-GGA.

## Properties
Spin magnetization ... 0.00 μB/cell
ρ ... 8.46 g/cm³
Crystal system ... trigonal
SG ... R3, No. 146
Uncorrected formation energy ... -112.77 kJ per mole of atoms
E_tot ... -56.1 eV/cell

a = 6.144 Å, b = 6.144 Å, c = 6.144 Å
α = 55.88°, β = 55.88°, γ = 55.88°
Positions (direct):
Nd 0.000 0.000 0.000
Tl 0.260 0.260 0.260
Tl 0.786 0.786 0.786
Pd 0.486 0.486 0.486
O 0.129 0.695 0.390
O 0.232 0.612 0.826
O 0.390 0.129 0.695
O 0.612 0.826 0.232
O 0.695 0.390 0.129
O 0.826 0.232 0.612